Arrangement i

## ReSeBr2F (PBE)

Data for a relaxed ReSeBr2F crystal.

symmetry = P4/mmm

POSCAR file:
```
ReSeBr2F
1.0
5.063 0.000 0.000
0.000 5.063 0.000
0.000 0.000 4.734
F Br Re Se
1 2 1 1
direct
0.500 0.500 0.500
0.000 0.500 0.000
0.500 0.000 0.000
0.000 0.000 0.000
0.000 0.000 0.500
```

=====

Arrangement ii

## ReSeBr2F (PBE)

Data for a relaxed ReSeBr2F crystal.

symmetry = P4/mmm

POSCAR file:
```
ReSeBr2F
1.0
-3.997 1.886 -3.340
-3.481 0.244 4.303
1.140 3.681 0.714
Se Br Re F
1 2 1 1
direct
0.000 0.000 0.500
0.000 0.500 0.000
0.500 0.000 0.000
0.500 0.500 0.500
0.000 0.000 0.000
```

=====

Relative energies with respect to the most stable structure, expressed in eV/atom: arrangement i 0.000; arrangement ii 0.881.

=====

Arrangement i

## Rh3BrF (PBE)

Data for a relaxed Rh3BrF crystal.

symmetry = Pm-3m

POSCAR file:
```
Rh3BrF
1.0
-1.485 4.166 0.422
-1.725 -0.201 -4.090
-3.816 -1.531 1.684
Rh F Br
3 1 1
direct
0.000 0.500 0.000
0.500 0.000 0.000
0.000 0.000 0.500
0.000 0.000 0.000
0.500 0.500 0.500
```

=====

Arrangement ii

## Rh3BrF (PBE)

Data for a relaxed Rh3BrF crystal.

symmetry = Pm-3m

POSCAR file:
```
Rh3BrF
1.0
4.657 0.000 0.000
0.000 4.657 0.000
0.000 0.000 4.657
Rh Br F
3 1 1
direct
0.000 0.000 0.500
0.500 0.000 0.000
0.000 0.500 0.000
0.000 0.000 0.000
0.500 0.500 0.500
```

=====

Relative energies with respect to the most stable structure, expressed in eV/atom: arrangement i 0.000; arrangement ii 0.167.

=====

Arrangement i

## RhBrF3 (PBE)

Data for a relaxed RhBrF3 crystal.

symmetry = P2_1

POSCAR file:
```
RhBrF3
1.0
-4.812 -1.039 -0.714
1.459 -6.070 -1.004
-0.579 -1.049 5.431
F Rh Br
6 2 2
direct
0.479 0.420 0.202
0.919 0.554 0.954
0.919 0.554 0.448
0.419 0.799 0.454
0.419 0.799 0.948
0.979 0.933 0.700
0.174 0.665 0.701
0.674 0.688 0.201
0.387 0.326 0.702
0.887 0.027 0.200
```

=====

Arrangement ii

## RhBrF3 (PBE)

Data for a relaxed RhBrF3 crystal.

symmetry = P-1

POSCAR file:
```
RhBrF3
1.0
0.489 -1.311 -3.754
1.032 -7.151 -1.646
-9.078 1.044 1.909
F Rh Br
6 2 2
direct
0.912 0.895 0.493
0.775 0.680 0.676
0.457 0.405 0.561
0.087 0.126 0.378
0.593 0.620 0.378
0.282 0.174 0.677
0.934 0.400 0.528
0.434 0.900 0.526
0.551 0.831 0.074
0.816 0.469 0.981
```

=====

Arrangement iii

## RhBrF3 (PBE)

Data for a relaxed RhBrF3 crystal.

symmetry = Pm-3m

POSCAR file:
```
RhBrF3
1.0
-0.860 4.419 -0.119
-3.861 -0.810 -2.172
-2.152 -0.313 3.943
F Rh Br
3 1 1
direct
0.500 0.000 0.000
0.000 0.000 0.500
0.000 0.500 0.000
0.500 0.500 0.500
0.000 0.000 0.000
```

=====

Relative energies with respect to the most stable structure, expressed in eV/atom: arrangement i 0.027; arrangement ii 0.000; arrangement iii 1.310.

=====

Arrangement i

## Rh2BrF (PBE)

Data for a relaxed Rh2BrF crystal.

symmetry = Fm-3m

POSCAR file:
```
Rh2BrF
1.0
0.000 3.052 3.052
3.052 0.000 3.052
3.052 3.052 0.000
Rh Br F
2 1 1
direct
0.750 0.750 0.750
0.250 0.250 0.250
0.500 0.500 0.500
0.000 0.000 0.000
```

=====

Arrangement ii

## Rh2BrF (PBE)

Data for a relaxed Rh2BrF crystal.

symmetry = I-42d

POSCAR file:
```
Rh2BrF
1.0
6.550 0.000 0.000
0.000 6.550 0.000
3.275 3.275 2.904
Rh Br F
4 2 2
direct
0.611 0.125 0.250
0.875 0.861 0.750
0.375 0.389 0.750
0.139 0.625 0.250
0.750 0.250 0.500
0.000 0.000 0.000
0.250 0.750 0.500
0.500 0.500 0.000
```

=====

Relative energies with respect to the most stable structure, expressed in eV/atom: arrangement i 0.000; arrangement ii 0.039.

=====

Arrangement i

## RuBr2F (PBE)

Data for a relaxed RuBr2F crystal.

symmetry = Fm-3m

POSCAR file:
```
RuBr2F
1.0
0.000 3.153 3.153
3.153 0.000 3.153
3.153 3.153 0.000
Ru Br F
1 2 1
direct
0.500 0.500 0.500
0.750 0.750 0.750
0.250 0.250 0.250
0.000 0.000 0.000
```

=====

Arrangement ii

## RuBr2F (PBE)

Data for a relaxed RuBr2F crystal.

symmetry = R-3m

POSCAR file:
```
RuBr2F
1.0
-3.506 -6.349 2.460
-0.323 -6.235 4.437
-3.273 -4.188 5.514
F Br Ru
1 2 1
direct
0.000 0.000 0.000
0.894 0.894 0.894
0.106 0.106 0.106
0.500 0.500 0.500
```

=====

Arrangement iii

## RuBr2F (PBE)

Data for a relaxed RuBr2F crystal.

symmetry = I-42d

POSCAR file:
```
RuBr2F
1.0
6.587 0.000 0.000
0.000 6.587 0.000
3.294 3.294 4.175
Ru F Br
2 2 4
direct
0.750 0.250 0.500
0.000 0.000 0.000
0.500 0.500 0.000
0.250 0.750 0.500
0.667 0.125 0.250
0.875 0.917 0.750
0.083 0.625 0.250
0.375 0.333 0.750
```

=====

Arrangement iv

## RuBr2F (PBE)

Data for a relaxed RuBr2F crystal.

symmetry = Immm

POSCAR file:
```
RuBr2F
1.0
-2.545 -0.476 2.676
2.863 -1.480 2.460
1.071 7.116 -0.304
F Ru Br
1 1 2
direct
0.500 0.509 0.000
0.500 0.009 0.000
0.126 0.136 0.253
0.874 0.882 0.747
```

=====

Relative energies with respect to the most stable structure, expressed in eV/atom: arrangement i 0.717; arrangement ii 0.484; arrangement iii 0.626; arrangement iv 0.000.

=====

Arrangement i

## RuBrF3 (PBE)

Data for a relaxed RuBrF3 crystal.

symmetry = Pm-3m

POSCAR file:
```
RuBrF3
1.0
-2.631 -2.231 -2.948
-1.642 -2.537 3.386
-3.313 3.030 0.664
Ru F Br
1 3 1
direct
0.500 0.500 0.500
0.500 0.000 0.000
0.000 0.000 0.500
0.000 0.500 0.000
0.000 0.000 0.000
```

=====

Arrangement ii

## RuBrF3 (PBE)

Data for a relaxed RuBrF3 crystal.

symmetry = C2/m

POSCAR file:
```
RuBrF3
1.0
7.075 0.415 1.967
2.048 7.066 4.490
1.308 0.733 8.487
F Br Ru
12 4 4
direct
0.640 0.615 0.115
0.360 0.385 0.885
0.500 0.674 0.826
0.633 0.111 0.611
0.867 0.389 0.889
0.140 0.115 0.615
0.860 0.885 0.385
0.133 0.611 0.111
0.367 0.889 0.389
0.500 0.326 0.174
0.000 0.174 0.326
0.000 0.826 0.674
0.250 0.530 0.470
0.250 0.970 0.030
0.750 0.470 0.530
0.750 0.030 0.970
0.617 0.384 0.884
0.883 0.116 0.616
0.383 0.616 0.116
0.117 0.884 0.384
```

=====

Arrangement iii

## RuBrF3 (PBE)

Data for a relaxed RuBrF3 crystal.

symmetry = Pm-3m

POSCAR file:
```
RuBrF3
1.0
-1.477 3.235 2.222
-3.849 -1.660 -0.141
0.771 -2.089 3.554
F Ru Br
3 1 1
direct
0.000 0.500 0.000
0.000 0.000 0.500
0.500 0.000 0.000
0.000 0.000 0.000
0.500 0.500 0.500
```

=====

Relative energies with respect to the most stable structure, expressed in eV/atom: arrangement i 1.647; arrangement ii 0.000; arrangement iii 0.597.

=====

Arrangement i

## RuSe2BrF (PBE)

Data for a relaxed RuSe2BrF crystal.

symmetry = P4/mmm

POSCAR file:
```
RuSe2BrF
1.0
4.331 0.000 0.000
0.000 4.331 0.000
0.000 0.000 5.836
Se Ru F Br
2 1 1 1
direct
0.500 0.000 0.000
0.000 0.500 0.000
0.500 0.500 0.500
0.000 0.000 0.000
0.000 0.000 0.500
```

=====

Arrangement ii

## RuSe2BrF (PBE)

Data for a relaxed RuSe2BrF crystal.

symmetry = P4/mmm

POSCAR file:
```
RuSe2BrF
1.0
-0.149 3.431 3.277
-4.456 -1.226 1.081
1.776 -3.319 3.555
Br Se F Ru
1 2 1 1
direct
0.000 0.000 0.500
0.000 0.500 0.000
0.500 0.000 0.000
0.500 0.500 0.500
0.000 0.000 0.000
```

=====

Relative energies with respect to the most stable structure, expressed in eV/atom: arrangement i 0.596; arrangement ii 0.000.

=====

Arrangement i

## SeSBr2F (PBE)

Data for a relaxed SeSBr2F crystal.

symmetry = P4/mmm

POSCAR file:
```
SeSBr2F
1.0
-3.659 2.450 2.282
-2.672 -4.174 0.197
2.081 -1.118 4.536
F Se S Br
1 1 1 2
direct
0.500 0.500 0.500
0.000 0.000 0.500
0.000 0.000 0.000
0.500 0.000 0.000
0.000 0.500 0.000
```

=====

Arrangement ii

## SeSBr2F (PBE)

Data for a relaxed SeSBr2F crystal.

symmetry = P4/mmm

POSCAR file:
```
SeSBr2F
1.0
5.901 0.000 0.000
0.000 5.901 0.000
0.000 0.000 3.896
S Br Se F
1 2 1 1
direct
0.500 0.500 0.500
0.500 0.000 0.000
0.000 0.500 0.000
0.000 0.000 0.500
0.000 0.000 0.000
```

=====

Relative energies with respect to the most stable structure, expressed in eV/atom: arrangement i 0.000; arrangement ii 0.249.

=====

Arrangement i

## SbBr2F (PBE)

Data for a relaxed SbBr2F crystal.

symmetry = R-3m

POSCAR file:
```
SbBr2F
1.0
2.080 0.000 8.780
-1.040 1.801 8.780
-1.040 -1.801 8.780
Br Sb F
2 1 1
direct
0.096 0.096 0.096
0.904 0.904 0.904
0.000 0.000 0.000
0.500 0.500 0.500
```

=====

Arrangement ii

## SbBr2F (PBE)

Data for a relaxed SbBr2F crystal.

symmetry = Fm-3m

POSCAR file:
```
SbBr2F
1.0
-0.764 -3.018 3.784
-4.053 -2.750 0.161
0.303 -4.849 -0.634
Br Sb F
2 1 1
direct
0.750 0.750 0.750
0.250 0.250 0.250
0.500 0.500 0.500
0.000 0.000 0.000
```

=====

Relative energies with respect to the most stable structure, expressed in eV/atom: arrangement i 0.510; arrangement ii 0.000.

=====

Arrangement i

## SbBr2F (PBE)

Data for a relaxed SbBr2F crystal.

symmetry = Imm2

POSCAR file:
```
SbBr2F
1.0
-2.972 0.523 2.723
-3.221 -0.332 -3.452
2.765 -7.096 1.346
F Br Sb
1 2 1
direct
0.991 0.629 0.982
0.352 0.873 0.703
0.630 0.151 0.261
0.991 0.047 0.982
```

=====

Arrangement ii

## SbBr2F (PBE)

Data for a relaxed SbBr2F crystal.

symmetry = I-42d

POSCAR file:
```
SbBr2F
1.0
10.502 0.000 0.000
0.000 10.502 0.000
5.251 5.251 2.204
Sb F Br
2 2 4
direct
0.000 0.000 0.000
0.750 0.250 0.500
0.250 0.750 0.500
0.500 0.500 0.000
0.875 0.036 0.750
0.964 0.625 0.250
0.786 0.125 0.250
0.375 0.214 0.750
```

=====

Relative energies with respect to the most stable structure, expressed in eV/atom: arrangement i 0.000; arrangement ii 0.093.

=====

Arrangement i

## Tc2SbBrF (PBE)

Data for a relaxed Tc2SbBrF crystal.

symmetry = P4/mmm

POSCAR file:
```
Tc2SbBrF
1.0
4.682 0.000 0.000
0.000 4.302 0.000
0.000 0.000 4.682
Br Sb F Tc
1 1 1 2
direct
0.000 0.000 0.000
0.500 0.500 0.500
0.000 0.500 0.000
0.500 0.000 0.000
0.000 0.000 0.500
```

=====

Arrangement ii

## Tc2SbBrF (PBE)

Data for a relaxed Tc2SbBrF crystal.

symmetry = P4/mmm

POSCAR file:
```
Tc2SbBrF
1.0
4.517 0.000 0.000
0.000 5.607 0.000
0.000 0.000 4.517
Sb Br F Tc
1 1 1 2
direct
0.000 0.500 0.000
0.000 0.000 0.000
0.500 0.500 0.500
0.500 0.000 0.000
0.000 0.000 0.500
```

=====

Relative energies with respect to the most stable structure, expressed in eV/atom: arrangement i 0.000; arrangement ii 0.569.